[1]
GaAu2Br | PBE | relaxed

Cell lengths 4.9119, 4.9119, 4.9119 Å; angles 60.00, 60.00, 60.00 degrees
Last column: nearest neighbours and their distance in Å.
Positions (direct):
Au  0.7500  0.7500  0.7500  4 Br 3.01, 4 Ga 3.01
Au  0.2500  0.2500  0.2500  4 Br 3.01, 4 Ga 3.01
Br  0.5000  0.5000  0.5000  8 Au 3.01
Ga  0.0000  0.0000  0.0000  8 Au 3.01

Values from the calculation:
The relative energy among the computed polymorphs comes out at 292 meV per atom. The value obtained for the density is 10.77 g cm⁻³. The calculation puts the uncorrected formation energy at 0.30 eV/atom.

=====

[2]
Sm6Er7Tm16 | PBE | relaxed

Cell lengths 11.0409, 11.0409, 11.0409 Å; angles 60.00, 60.00, 60.00 degrees
Last column: nearest neighbours and their distance in Å.
Positions (direct):
Er  0.5000  0.0000  0.5000  8 Tm 3.20-3.41
Er  0.0000  0.0000  0.0000  8 Tm 3.30
Er  0.0000  0.5000  0.0000  8 Tm 3.20-3.41
Er  0.0000  0.0000  0.5000  8 Tm 3.20-3.41
Er  0.5000  0.5000  0.0000  8 Tm 3.20-3.41
Er  0.5000  0.0000  0.0000  8 Tm 3.20-3.41
Er  0.0000  0.5000  0.5000  8 Tm 3.20-3.41
Tm  0.3456  0.3456  0.3456  3 Er 3.20, 3 Sm 3.55, 3 Tm 3.56
Tm  0.9633  0.3456  0.3456  3 Er 3.20, 3 Sm 3.55, 3 Tm 3.56
Tm  0.3456  0.9633  0.3456  3 Er 3.20, 3 Sm 3.55, 3 Tm 3.56
Tm  0.6544  0.6544  0.0367  3 Er 3.20, 3 Sm 3.55, 3 Tm 3.56
Tm  0.8778  0.3665  0.8778  4 Er 3.30-3.41, 3 Tm 3.56, 3 Sm 3.68
Tm  0.1222  0.6335  0.1222  4 Er 3.30-3.41, 3 Tm 3.56, 3 Sm 3.68
Tm  0.1222  0.1222  0.1222  4 Er 3.30-3.41, 3 Tm 3.56, 3 Sm 3.68
Tm  0.1222  0.1222  0.6335  4 Er 3.30-3.41, 3 Tm 3.56, 3 Sm 3.68
Tm  0.6544  0.6544  0.6544  3 Er 3.20, 3 Sm 3.55, 3 Tm 3.56
Tm  0.3456  0.3456  0.9633  3 Er 3.20, 3 Sm 3.55, 3 Tm 3.56
Tm  0.6544  0.0367  0.6544  3 Er 3.20, 3 Sm 3.55, 3 Tm 3.56
Tm  0.8778  0.8778  0.8778  4 Er 3.30-3.41, 3 Tm 3.56, 3 Sm 3.68
Tm  0.6335  0.1222  0.1222  4 Er 3.30-3.41, 3 Tm 3.56, 3 Sm 3.68
Tm  0.8778  0.8778  0.3665  4 Er 3.30-3.41, 3 Tm 3.56, 3 Sm 3.68
Tm  0.0367  0.6544  0.6544  3 Er 3.20, 3 Sm 3.55, 3 Tm 3.56
Tm  0.3665  0.8778  0.8778  4 Er 3.30-3.41, 3 Tm 3.56, 3 Sm 3.68
Sm  0.7178  0.7178  0.2822  8 Tm 3.55-3.68, 4 Er 3.94
Sm  0.7178  0.2822  0.2822  8 Tm 3.55-3.68, 4 Er 3.94
Sm  0.7178  0.2822  0.7178  8 Tm 3.55-3.68, 4 Er 3.94
Sm  0.2822  0.7178  0.7178  8 Tm 3.55-3.68, 4 Er 3.94
Sm  0.2822  0.2822  0.7178  8 Tm 3.55-3.68, 4 Er 3.94
Sm  0.2822  0.7178  0.2822  8 Tm 3.55-3.68, 4 Er 3.94

Values from the calculation:
The total energy is -4.30 eV per atom. The value obtained for the density is 8.33 g cm⁻³.

=====

[3]
LiVGe2 | PBE | relaxed

Cell lengths 4.0153, 4.0153, 9.1246 Å; angles 77.29, 77.29, 90.00 degrees
Last column: nearest neighbours and their distance in Å.
Positions (direct):
Ge  0.8750  0.8901  0.7500  2 V 2.57, 2 Li 2.62, 2 Ge 2.76
Ge  0.3750  0.3599  0.7500  2 V 2.57, 2 Li 2.62, 2 Ge 2.76
Ge  0.6401  0.1250  0.2500  2 V 2.57, 2 Li 2.62, 2 Ge 2.76
Ge  0.1099  0.6250  0.2500  2 V 2.57, 2 Li 2.62, 2 Ge 2.76
Li  0.2500  0.7500  0.5000  4 Ge 2.62, 4 V 2.84
Li  0.5000  0.5000  0.0000  4 Ge 2.62, 4 V 2.84
V  0.7500  0.2500  0.5000  4 Ge 2.57, 4 Li 2.84
V  0.0000  0.0000  0.0000  4 Ge 2.57, 4 Li 2.84

Values from the calculation:
The relative energy among the computed polymorphs comes out at 382 meV per atom. The value obtained for the density is 4.83 g cm⁻³.

=====

[4]
CaLa3Pr2Se6 | PBE | relaxed

Cell lengths 4.2722, 8.5880, 9.5596 Å; angles 102.71, 102.91, 90.00 degrees
Last column: nearest neighbours and their distance in Å.
Positions (direct):
Pr  0.1696  0.3386  0.3391  6 Se 3.00-3.07
Pr  0.8304  0.6614  0.6609  6 Se 3.00-3.07
La  0.8311  0.1680  0.6622  6 Se 3.02-3.08
La  0.5000  0.5000  0.0000  6 Se 3.00-3.08
La  0.1689  0.8320  0.3378  6 Se 3.02-3.08
Se  0.6623  0.0823  0.3246  1 Ca 2.95, 2 Pr 3.05, 3 La 3.05-3.07
Se  0.0005  0.2423  0.0009  2 Ca 2.98, 1 Pr 3.07, 3 La 3.08
Se  0.6653  0.5825  0.3305  3 Pr 3.00, 3 La 3.00-3.02
Se  0.3347  0.4175  0.6695  3 Pr 3.00, 3 La 3.00-3.02
Se  0.3377  0.9177  0.6754  1 Ca 2.95, 2 Pr 3.05, 3 La 3.05-3.07
Se  0.9995  0.7577  0.9991  2 Ca 2.98, 1 Pr 3.07, 3 La 3.08
Ca  0.5000  0.0000  0.0000  6 Se 2.95-2.98

Values from the calculation:
The value obtained for the density is 6.04 g cm⁻³. The calculation puts the uncorrected formation energy at -1.95 eV/atom.

=====

[5]
Cd6Ag6Sn | PBE | relaxed

Cell lengths 5.7265, 5.7265, 9.6825 Å; angles 90.00, 90.00, 120.00 degrees
Last column: nearest neighbours and their distance in Å.
Positions (direct):
Cd  0.3333  0.6667  0.5000  6 Ag 2.94
Cd  0.0000  0.0000  0.3441  6 Ag 3.01, 1 Cd 3.02, 1 Sn 3.33
Cd  0.0000  0.0000  0.6559  6 Ag 3.01, 1 Cd 3.02, 1 Sn 3.33
Cd  0.6667  0.3333  0.0000  6 Ag 2.93
Cd  0.6667  0.3333  0.5000  6 Ag 2.94
Cd  0.3333  0.6667  0.0000  6 Ag 2.93
Ag  0.5000  0.5000  0.7506  4 Ag 2.86, 6 Cd 2.93-3.01
Ag  0.5000  0.0000  0.2494  4 Ag 2.86, 6 Cd 2.93-3.01
Ag  0.5000  0.0000  0.7506  4 Ag 2.86, 6 Cd 2.93-3.01
Ag  0.5000  0.5000  0.2494  4 Ag 2.86, 6 Cd 2.93-3.01
Ag  0.0000  0.5000  0.2494  4 Ag 2.86, 6 Cd 2.93-3.01
Ag  0.0000  0.5000  0.7506  4 Ag 2.86, 6 Cd 2.93-3.01
Sn  0.0000  0.0000  0.0000  8 Cd 3.31-3.33

Values from the calculation:
The total energy is -2.05 eV per atom. The value obtained for the density is 8.70 g cm⁻³.

=====

[6]
Nb4Ge2C | PBE | relaxed

Cell lengths 3.2805, 6.9707, 9.9059 Å; angles 90.00, 90.00, 90.00 degrees
Last column: nearest neighbours and their distance in Å.
Positions (direct):
Nb  0.0000  0.1341  0.6991  1 C 2.18
Nb  0.5000  0.6853  0.0745  2 C 2.21
Nb  0.0000  0.6341  0.8009  1 C 2.18
Nb  0.5000  0.1853  0.4255  2 C 2.21
Nb  0.0000  0.8659  0.3009  1 C 2.18
Nb  0.5000  0.3147  0.9255  2 C 2.21
Nb  0.0000  0.3659  0.1991  1 C 2.18
Nb  0.5000  0.8147  0.5745  2 C 2.21
C  0.0000  0.0000  0.5000  6 Nb 2.18-2.21
C  0.0000  0.5000  0.0000  6 Nb 2.18-2.21
Ge  0.5000  0.5704  0.3586  7 Nb 2.69-2.93, 1 Ge 2.97
Ge  0.5000  0.9296  0.8586  7 Nb 2.69-2.93, 1 Ge 2.97
Ge  0.5000  0.0704  0.1414  7 Nb 2.69-2.93, 1 Ge 2.97
Ge  0.5000  0.4296  0.6414  7 Nb 2.69-2.93, 1 Ge 2.97

Values from the calculation:
The relative energy among the computed polymorphs comes out at 0 meV per atom. The value obtained for the density is 7.75 g cm⁻³.